Record 1
Here is K2NaNi3H12 after structural relaxation from Alexandria. Energies are from PBE.

Cell: 6.4008 6.4008 6.4008 Å, 57.54 57.54 57.54°
Fractional positions:
K 0.1140 0.1140 0.1140
K 0.8860 0.8860 0.8860
Na 0.5000 0.5000 0.5000
Ni 0.0000 0.5000 0.5000
Ni 0.5000 0.0000 0.5000
Ni 0.5000 0.5000 0.0000
H 0.0772 0.6040 0.6040
H 0.2062 0.2062 0.5987
H 0.2062 0.5987 0.2062
H 0.3960 0.3960 0.9228
H 0.3960 0.9228 0.3960
H 0.4013 0.7938 0.7938
H 0.5987 0.2062 0.2062
H 0.6040 0.0772 0.6040
H 0.6040 0.6040 0.0772
H 0.7938 0.4013 0.7938
H 0.7938 0.7938 0.4013
H 0.9228 0.3960 0.3960

Results
E, eV/atom: -3.49
Magnetization, μB/atom: 0.00


Record 2
Here is LuMnZnHg after structural relaxation from Alexandria. Energies are from PBE.

Cell: 4.8014 4.8014 4.8014 Å, 60.00 60.00 60.00°
Fractional positions:
Lu 0.0000 0.0000 0.0000
Mn 0.5000 0.5000 0.5000
Zn 0.2500 0.2500 0.2500
Hg 0.7500 0.7500 0.7500

Results
E, eV/atom: -3.90
Magnetization, μB/atom: 1.01
Calculated formation energy, kJ/mol of atoms: -8.5


Record 3
Here is Y2Te2O after structural relaxation from Alexandria. Energies are from PBE.

Cell: 7.0125 7.0125 11.3782 Å, 122.40 122.40 32.83°
Fractional positions:
Y 0.0289 0.0289 0.1727
Y 0.1865 0.1865 0.5718
Y 0.8135 0.8135 0.4282
Y 0.9711 0.9711 0.8273
Te 0.3367 0.3367 0.9104
Te 0.4706 0.4706 0.3322
Te 0.5294 0.5294 0.6678
Te 0.6633 0.6633 0.0896
O 0.2120 0.2120 0.3873
O 0.7880 0.7880 0.6127

Results
E, eV/atom: -6.93
Raw formation energy, kJ/mol of formula units: -1010
Magnetization, μB/atom: 0.00


Record 4
Here is ScGaGePd after structural relaxation from Alexandria. Energies are from PBE.

Cell: 4.6150 4.6150 4.6150 Å, 60.00 60.00 60.00°
Fractional positions:
Sc 0.0000 0.0000 0.0000
Ga 0.5000 0.5000 0.5000
Ge 0.7500 0.7500 0.7500
Pd 0.2500 0.2500 0.2500

Results
E, eV/atom: -5.32
Magnetization, μB/atom: 0.00
Calculated formation energy, kJ/mol of atoms: -50.9


Record 5
Here is GaFeSiHN after structural relaxation from Alexandria. Energies are from PBE.

Cell: 7.2974 7.2974 7.2974 Å, 22.89 22.89 22.89°
Fractional positions:
Ga 0.0000 0.0000 0.0000
Fe 0.4195 0.4195 0.4195
Si 0.8860 0.8860 0.8860
H 0.7678 0.7678 0.7678
N 0.5208 0.5208 0.5208

Results
E, eV/atom: -5.91
Magnetization, μB/atom: 0.27


Record 6
Here is ErThTlTc after structural relaxation from Alexandria. Energies are from PBE.

Cell: 5.1825 5.1825 5.1825 Å, 60.00 60.00 60.00°
Fractional positions:
Er 0.0000 0.0000 0.0000
Th 0.5000 0.5000 0.5000
Tl 0.7500 0.7500 0.7500
Tc 0.2500 0.2500 0.2500

Results
E, eV/atom: -6.19
Magnetization, μB/atom: 0.00
Calculated formation energy, kJ/mol of atoms: -0.9


no.,Fermi-level density of states (states/eV/cell)
1,2.4
2,2.3
3,0.4
4,1.4
5,2.3
6,2.6